# 1
VASP calculation (PBE) on Tl6Hg8Te after structural relaxation.

Geometry as POSCAR:
```
Tl6Hg8Te
1.0
3.981 2.298 8.444
-3.981 2.298 8.444
0.000 -4.596 8.444
Tl Hg Te
6 8 1
Direct
0.040 0.541 0.761
0.239 0.960 0.459
0.459 0.239 0.960
0.541 0.761 0.040
0.761 0.040 0.541
0.960 0.459 0.239
0.097 0.097 0.097
0.138 0.637 0.316
0.316 0.138 0.637
0.363 0.684 0.862
0.637 0.316 0.138
0.684 0.862 0.363
0.862 0.363 0.684
0.903 0.903 0.903
0.500 0.500 0.500
```

Calculated values
**Size of the total moment**: 0.00 Bohr magnetons per cell
**DOS(E_F)**: 8.04 states/eV/f.u.
**Crystal system**: trigonal
**ΔE_f (raw)**: -19 meV/atom


# 2
VASP calculation (PBE) on OsAu2Br after structural relaxation.

Geometry as POSCAR:
```
OsAu2Br
1.0
2.864 0.000 0.000
0.000 3.597 0.000
-0.330 0.000 8.089
Os Au Br
1 2 1
Direct
0.000 0.000 0.000
0.476 0.500 0.794
0.951 0.000 0.581
0.023 0.500 0.199
```

Calculated values
**Offset from the most stable computed form**: 0.12 eV per formula unit
**Size of the total moment**: 0.00 Bohr magnetons per cell
**DOS(E_F)**: 2.99 states/eV/f.u.
**Crystal system**: monoclinic
**ΔE_f (raw)**: 653 meV/atom


# 3
VASP calculation (PBE) on Co2NiOs after structural relaxation.

Geometry as POSCAR:
```
Co2NiOs
1.0
6.345 0.000 0.000
0.000 6.345 0.000
0.000 0.000 5.039
Co Ni Os
8 4 4
Direct
0.246 0.250 0.125
0.250 0.746 0.375
0.250 0.754 0.875
0.254 0.250 0.625
0.746 0.750 0.625
0.750 0.246 0.875
0.750 0.254 0.375
0.754 0.750 0.125
0.000 0.000 0.500
0.000 0.500 0.750
0.500 0.000 0.250
0.500 0.500 0.000
0.000 0.000 0.000
0.000 0.500 0.250
0.500 0.000 0.750
0.500 0.500 0.500
```

Calculated values
**Offset from the most stable computed form**: 2.45 eV per formula unit
**Size of the total moment**: 0.00 Bohr magnetons per cell
**DOS(E_F)**: 6.87 states/eV/f.u.
**Crystal system**: tetragonal
**Formation energy**: 2.9 eV per formula unit


# 4
VASP calculation (PBE) on InAs2Se4 after structural relaxation.

Geometry as POSCAR:
```
InAs2Se4
1.0
1.934 -6.418 0.000
1.934 6.418 0.000
0.000 0.000 13.501
In As Se
2 4 8
Direct
0.094 0.906 0.750
0.906 0.094 0.250
0.362 0.638 0.558
0.362 0.638 0.942
0.638 0.362 0.058
0.638 0.362 0.442
0.000 0.000 0.000
0.000 0.000 0.500
0.272 0.728 0.118
0.272 0.728 0.382
0.444 0.556 0.750
0.556 0.444 0.250
0.728 0.272 0.618
0.728 0.272 0.882
```

Calculated values
**Size of the total moment**: 0.00 Bohr magnetons per cell
**DOS(E_F)**: 2.61 states/eV/f.u.
**Crystal system**: orthorhombic
**ΔE_f (raw)**: -134 meV/atom


# 5
VASP calculation (PBE) on FeAg2 after structural relaxation.

Geometry as POSCAR:
```
FeAg2
1.0
9.669 0.000 0.000
0.000 2.883 0.000
-2.751 0.000 6.911
Fe Ag
4 8
Direct
0.188 0.000 0.070
0.312 0.500 0.930
0.688 0.500 0.070
0.812 0.000 0.930
0.012 0.500 0.225
0.164 0.000 0.594
0.336 0.500 0.406
0.488 0.000 0.775
0.512 0.000 0.225
0.664 0.500 0.594
0.836 0.000 0.406
0.988 0.500 0.775
```

Calculated values
**Size of the total moment**: 11.03 Bohr magnetons per cell
**DOS(E_F)**: 1.71 states/eV/f.u.
**Crystal system**: monoclinic
**Formation energy**: 0.8 eV per formula unit


# 6
VASP calculation (PBE) on BaCaPb2 after structural relaxation.

Geometry as POSCAR:
```
BaCaPb2
1.0
3.797 0.000 0.000
0.000 4.695 0.000
0.000 0.000 7.754
Ba Ca Pb
1 1 2
Direct
0.000 0.000 0.000
0.000 0.000 0.500
0.500 0.500 0.290
0.500 0.500 0.710
```

Calculated values
**Size of the total moment**: 0.00 Bohr magnetons per cell
**DOS(E_F)**: 1.17 states/eV/f.u.
**Crystal system**: orthorhombic
**Formation energy**: -2.2 eV per formula unit


# 7
VASP calculation (PBE) on NaCa2Pb2 after structural relaxation.

Geometry as POSCAR:
```
NaCa2Pb2
1.0
9.566 0.000 0.000
0.000 9.566 0.000
0.000 0.000 3.531
Na Ca Pb
2 4 4
Direct
0.000 0.000 0.000
0.500 0.500 0.000
0.126 0.374 0.000
0.374 0.874 0.000
0.626 0.126 0.000
0.874 0.626 0.000
0.175 0.675 0.500
0.325 0.175 0.500
0.675 0.825 0.500
0.825 0.325 0.500
```

Calculated values
**Offset from the most stable computed form**: 0.24 eV per formula unit
**Size of the total moment**: 0.00 Bohr magnetons per cell
**DOS(E_F)**: 1.87 states/eV/f.u.
**Crystal system**: tetragonal
**Formation energy**: -1.8 eV per formula unit


# 8
VASP calculation (PBE) on Zr2Ga2Se after structural relaxation.

Geometry as POSCAR:
```
Zr2Ga2Se
1.0
7.139 0.000 0.000
0.000 7.139 0.000
0.000 0.000 4.059
Zr Ga Se
4 4 2
Direct
0.176 0.324 0.000
0.324 0.824 0.000
0.676 0.176 0.000
0.824 0.676 0.000
0.127 0.627 0.500
0.373 0.127 0.500
0.627 0.873 0.500
0.873 0.373 0.500
0.000 0.000 0.000
0.500 0.500 0.000
```

Calculated values
**Size of the total moment**: 0.00 Bohr magnetons per cell
**DOS(E_F)**: 2.76 states/eV/f.u.
**Crystal system**: tetragonal
**ΔE_f (raw)**: -675 meV/atom


# 9
VASP calculation (PBE) on La3HgPb3 after structural relaxation.

Geometry as POSCAR:
```
La3HgPb3
1.0
6.103 -2.406 0.000
6.103 2.406 0.000
-4.851 0.000 15.260
La Hg Pb
6 2 6
Direct
0.017 0.017 0.377
0.103 0.103 0.924
0.224 0.224 0.227
0.776 0.776 0.773
0.897 0.897 0.076
0.983 0.983 0.623
0.271 0.271 0.630
0.729 0.729 0.370
0.359 0.359 0.462
0.377 0.377 0.925
0.492 0.492 0.224
0.508 0.508 0.776
0.623 0.623 0.075
0.641 0.641 0.538
```

Calculated values
**Size of the total moment**: 0.00 Bohr magnetons per cell
**DOS(E_F)**: 5.97 states/eV/f.u.
**Crystal system**: monoclinic
**Formation energy**: -3.8 eV per formula unit


# 10
VASP calculation (PBE) on CaAg2Ir after structural relaxation.

Geometry as POSCAR:
```
CaAg2Ir
1.0
3.579 0.000 0.000
0.000 3.579 0.000
0.000 0.000 6.109
Ca Ag Ir
1 2 1
Direct
0.000 0.000 0.000
0.500 0.500 0.278
0.500 0.500 0.722
0.000 0.000 0.500
```

Calculated values
**Offset from the most stable computed form**: 0.80 eV per formula unit
**Size of the total moment**: 0.00 Bohr magnetons per cell
**DOS(E_F)**: 2.36 states/eV/f.u.
**Crystal system**: tetragonal
**Formation energy**: 0.8 eV per formula unit


# 11
VASP calculation (PBE) on MgV after structural relaxation.

Geometry as POSCAR:
```
MgV
1.0
5.335 0.000 0.000
0.000 5.335 0.000
0.000 0.000 5.503
Mg V
4 4
Direct
0.172 0.172 0.000
0.328 0.672 0.500
0.672 0.328 0.500
0.828 0.828 0.000
0.136 0.136 0.500
0.364 0.636 0.000
0.636 0.364 0.000
0.864 0.864 0.500
```

Calculated values
**Size of the total moment**: 0.00 Bohr magnetons per cell
**DOS(E_F)**: 1.68 states/eV/f.u.
**Crystal system**: tetragonal
**Formation energy**: 1.9 eV per formula unit


# 12
VASP calculation (PBE) on Rb2WSe5 after structural relaxation.

Geometry as POSCAR:
```
Rb2WSe5
1.0
5.982 0.000 0.000
0.000 7.923 0.000
0.000 0.000 12.167
Rb W Se
4 2 10
Direct
0.000 0.000 0.000
0.000 0.000 0.413
0.500 0.500 0.500
0.500 0.500 0.913
0.000 0.500 0.177
0.500 0.000 0.677
0.000 0.500 0.987
0.234 0.222 0.735
0.234 0.778 0.735
0.266 0.278 0.235
0.266 0.722 0.235
0.500 0.000 0.487
0.734 0.278 0.235
0.734 0.722 0.235
0.766 0.222 0.735
0.766 0.778 0.735
```

Calculated values
**Size of the total moment**: 0.00 Bohr magnetons per cell
**DOS(E_F)**: 3.85 states/eV/f.u.
**Crystal system**: orthorhombic
**ΔE_f (raw)**: -586 meV/atom


Number 1: VASP energy -20.04 eV/cell. Number 2: VASP energy -16.84 eV/cell. Number 3: VASP energy -113.29 eV/cell. Number 4: VASP energy -53.83 eV/cell. Number 5: VASP energy -53.53 eV/cell. Number 6: VASP energy -13.50 eV/cell. Number 7: VASP energy -29.04 eV/cell. Number 8: VASP energy -60.02 eV/cell. Number 9: VASP energy -60.03 eV/cell. Number 10: VASP energy -15.73 eV/cell. Number 11: VASP energy -35.44 eV/cell. Number 12: VASP energy -74.00 eV/cell.